DFT (PBE) results for PmNdCoCu after structural relaxation.

Its raw total energy is -5.236 eV/atom. For the total magnetic moment, the calculation gives 0.352 μB/f.u. The density comes out at 7898 kg/m³.

The space group is F-43m (No. 216) and the conventional cell measures 7.0220, 7.0220 and 7.0220 Å, with angles of 90.00, 90.00 and 90.00 degrees. The asymmetric unit holds Pm at (0.0000, 0.0000, 0.0000), Nd at (0.0000, 0.0000, 0.5000), Co at (0.2500, 0.2500, 0.2500) and Cu at (0.2500, 0.2500, 0.7500).


DFT (PBE) results for PmNdCoCu after structural relaxation.

Its raw total energy is -5.293 eV/atom. For the total magnetic moment, the calculation gives 0.000 μB/f.u. The density comes out at 7655 kg/m³.

The space group is Amm2 (No. 38) and the conventional cell measures 4.3369, 3.9094 and 10.5348 Å, with angles of 90.00, 90.00 and 90.00 degrees. The asymmetric unit holds Pm at (0.0000, 0.0000, 0.0000), Nd at (0.5000, 0.0000, 0.7213), Co at (0.5000, 0.0000, 0.4315) and Cu at (0.0000, 0.0000, 0.2955).


DFT (PBE) results for PrNdCoCu after structural relaxation.

Its raw total energy is -5.212 eV/atom. For the total magnetic moment, the calculation gives 0.342 μB/f.u. The density comes out at 7640 kg/m³.

The space group is F-43m (No. 216) and the conventional cell measures 7.0766, 7.0766 and 7.0766 Å, with angles of 90.00, 90.00 and 90.00 degrees. The asymmetric unit holds Pr at (0.0000, 0.0000, 0.0000), Nd at (0.0000, 0.0000, 0.5000), Co at (0.2500, 0.2500, 0.2500) and Cu at (0.2500, 0.2500, 0.7500).


DFT (PBE) results for PrNdCoCu after structural relaxation.

Its raw total energy is -5.276 eV/atom. For the total magnetic moment, the calculation gives 0.000 μB/f.u. The density comes out at 7423 kg/m³.

The space group is Amm2 (No. 38) and the conventional cell measures 4.3572, 3.9376 and 10.6294 Å, with angles of 90.00, 90.00 and 90.00 degrees. The asymmetric unit holds Pr at (0.0000, 0.0000, 0.0000), Nd at (0.5000, 0.0000, 0.7219), Co at (0.0000, 0.0000, 0.2911) and Cu at (0.5000, 0.0000, 0.4258).